[1]
Material: Si2RhCl
Method: DFT, PBE-GGA
State: optimized geometry

Properties
For the energy relative to the lowest polymorph listed for this composition, the calculation gives 128 meV per atom. Its magnetic moment is 0.00 μB/atom. As for the crystal system: monoclinic.

Cell: 5.027 5.027 2.898 Å, 71.18 71.18 84.94°
Sites, in units of the cell vectors:
Rh1 0.000 0.500 0.500
Si1 0.000 0.000 0.000
Si2 0.500 0.500 0.000
Cl1 0.500 0.000 0.500

***

[2]
Material: BeAgPt2Pb
Method: DFT, PBE-GGA
State: optimized geometry

Properties
Its magnetic moment is 0.00 μB/atom. Its energy relative to the elements is -19.0 meV/atom. As for the crystal system: tetragonal.

Cell: 4.374 4.374 4.678 Å, 90.00 90.00 90.00°
Sites, in units of the cell vectors:
Pt1 0.000 0.500 0.000
Pb1 0.500 0.500 0.500
Ag1 0.000 0.000 0.500
Pt2 0.500 0.000 0.000
Be1 0.000 0.000 0.000

***

[3]
Material: Ac3S4
Method: DFT, PBE-GGA
State: optimized geometry

Properties
For the energy relative to the lowest polymorph listed for this composition, the calculation gives 0 meV per atom. Its magnetic moment is 0.00 μB/atom. As for the crystal system: cubic.

Cell: 7.824 7.824 7.824 Å, 109.47 109.47 109.47°
Sites, in units of the cell vectors:
S1 0.500 0.349 0.500
Ac1 0.625 0.750 0.875
Ac2 0.875 0.250 0.625
S2 0.349 0.500 0.000
S3 0.151 0.651 0.651
Ac3 0.375 0.125 0.750
Ac4 0.250 0.875 0.125
S4 0.849 0.500 0.000
S5 0.651 0.151 0.151
S6 0.000 0.000 0.349
Ac5 0.750 0.625 0.375
S7 0.000 0.000 0.849
Ac6 0.125 0.375 0.250
S8 0.500 0.849 0.500

***

> magnetic moment of number 2 (BeAgPt2Pb)?

0.00 μB/atom